La2ZnOs | PBE | optimized geometry

a = 4.4552 Å, b = 4.1662 Å, c = 5.8910 Å
α = 69.26°, β = 90.00°, γ = 90.00°
Fractional coordinates of all 4 atoms:
La 0.0000 0.9876 0.8992
Zn 0.5000 0.5591 0.7573
La 0.5000 0.2632 0.3493
Os 0.0000 0.6901 0.4942

Calculated values
Crystal system = orthorhombic
Energy relative to the elements = -0.1475 eV/atom
V = 102.3 Å³ per cell